Record 1
4
Lattice="3.879 0.000 0.000 0.000 6.136 0.000 0.000 0.000 6.136" Properties=species:S:1:pos:R:3 comment="RbNaTl2 GGA-PBE optimized geometry" ef_ev_per_atom=0.0480 total_energy_ha_per_atom=-0.0627 relative_energy_mev_per_atom=120 pbc="T T T"
Na 1.939 3.068 3.068
Tl 0.000 0.000 3.068
Tl 0.000 3.068 0.000
Rb 1.939 0.000 0.000


Record 2
7
Lattice="4.895 0.000 0.000 0.000 4.895 0.000 0.000 0.000 12.387" Properties=species:S:1:pos:R:3 comment="RbNa5Tl GGA-PBE optimized geometry" ef_ev_per_atom=-0.0095 total_energy_ha_per_atom=-0.0525 pbc="T T T"
Rb 0.000 0.000 6.193
Na 0.000 2.448 2.550
Na 0.000 2.448 9.837
Na 2.448 0.000 2.550
Na 2.448 0.000 9.837
Na 0.000 0.000 0.000
Tl 2.448 2.448 0.000


Record 3
19
Lattice="8.842 0.065 0.814 0.748 8.811 0.814 0.070 0.065 8.879" Properties=species:S:1:pos:R:3 comment="Rb2Na12Tl5 GGA-PBE optimized geometry" ef_ev_per_atom=-0.0604 total_energy_ha_per_atom=-0.0595 pbc="T T T"
Rb 6.371 5.896 6.930
Rb 3.289 3.044 3.577
Na 2.991 6.388 0.814
Na 6.412 0.065 3.049
Na 0.258 2.488 6.645
Na 6.600 2.488 0.814
Na 2.500 0.065 6.645
Na 0.560 6.388 3.049
Na 3.316 3.069 8.433
Na 3.688 7.864 4.012
Na 8.126 3.069 4.012
Na 5.972 1.076 6.496
Na 6.344 5.871 2.074
Na 1.535 5.871 6.496
Tl 0.035 0.032 4.440
Tl 0.374 4.405 0.407
Tl 4.421 0.032 0.407
Tl 8.721 8.070 9.485
Tl 0.940 0.870 1.022


Record 4
8
Lattice="4.608 0.000 1.532 1.562 7.577 2.998 -0.182 0.920 8.244" Properties=species:S:1:pos:R:3 comment="RbNa2Tl5 GGA-PBE optimized geometry" ef_ev_per_atom=-0.0496 total_energy_ha_per_atom=-0.0727 pbc="T T T"
Rb 0.000 0.000 0.000
Na 4.504 6.339 9.541
Na 1.484 2.159 3.233
Tl 0.690 4.249 5.621
Tl 3.714 4.469 4.222
Tl 2.275 4.029 8.552
Tl 2.930 6.531 6.579
Tl 3.058 1.966 6.194


Record 5
8
Lattice="-2.898 3.995 2.428 -3.870 -5.971 -1.024 2.570 -3.054 8.093" Properties=species:S:1:pos:R:3 comment="RbNaTl2 GGA-PBE optimized geometry" ef_ev_per_atom=-0.0472 total_energy_ha_per_atom=-0.0662 relative_energy_mev_per_atom=25 pbc="T T T"
Rb -2.822 -5.838 6.240
Rb -1.376 0.808 3.257
Na -4.495 -1.525 3.368
Na 0.297 -3.505 6.130
Tl -1.486 -3.197 3.487
Tl -2.712 -1.833 6.010
Tl -2.357 -2.161 0.743
Tl -1.841 -2.869 8.754


Record 6
16
Lattice="-5.059 5.082 -3.706 -1.453 -5.229 -5.186 -10.986 -5.009 8.129" Properties=species:S:1:pos:R:3 comment="Rb3Na4Tl GGA-PBE optimized geometry" ef_ev_per_atom=0.0190 total_energy_ha_per_atom=-0.0477 relative_energy_mev_per_atom=21 pbc="T T T"
Na -12.130 -5.151 3.161
Na -3.955 -1.424 -2.888
Na -0.497 -1.220 -1.423
Na -1.203 -3.762 -3.943
Na -11.529 -1.505 -3.477
Na -10.782 1.183 -0.811
Na -7.324 1.387 0.654
Na -10.134 0.105 2.734
Tl -4.208 0.883 -5.143
Tl -7.070 -0.920 2.909
Rb -2.841 2.854 -2.081
Rb -8.437 -2.891 -0.153
Rb -13.174 -2.210 0.488
Rb -7.591 0.335 -3.644
Rb -9.090 -2.836 5.407
Rb -3.688 -0.373 1.409


Record 7
20
Lattice="-4.809 7.202 0.210 -7.525 -4.909 -4.021 1.061 0.431 9.537" Properties=species:S:1:pos:R:3 comment="RbNa6Tl3 GGA-PBE optimized geometry" ef_ev_per_atom=-0.0354 total_energy_ha_per_atom=-0.0600 pbc="T T T"
Rb -5.967 -3.063 2.858
Rb -3.830 3.575 2.803
Na -4.682 -1.481 6.385
Na -8.492 1.430 -2.088
Na -7.593 -1.691 -0.170
Na -7.137 3.689 4.460
Na -1.486 1.875 0.493
Na -8.248 1.469 1.594
Na -2.296 0.162 4.099
Na -10.043 1.232 5.244
Na -4.847 0.100 1.296
Na -4.392 5.479 5.927
Na -2.067 0.224 7.782
Na -5.877 3.136 -0.691
Tl -6.789 0.330 4.392
Tl -11.629 2.470 -1.210
Tl -9.056 4.178 -0.201
Tl -4.438 1.871 6.023
Tl -6.688 5.693 1.429
Tl -1.848 3.553 7.032


Record 8
6
Lattice="-6.579 -0.433 -2.089 -4.626 -3.429 3.830 -4.937 3.466 3.383" Properties=species:S:1:pos:R:3 comment="RbNa4Tl GGA-PBE optimized geometry" ef_ev_per_atom=0.0458 total_energy_ha_per_atom=-0.0511 relative_energy_mev_per_atom=56 pbc="T T T"
Na -7.612 -2.014 1.491
Na -7.770 1.498 1.263
Na -10.127 -0.248 3.215
Na -6.776 -0.028 4.279
Tl 0.000 0.000 0.000
Rb -4.036 -0.099 1.281


Record 9
5
Lattice="-0.755 -0.908 4.806 -0.055 -6.365 -1.212 6.826 2.305 -1.040" Properties=species:S:1:pos:R:3 comment="RbNa2Tl2 GGA-PBE optimized geometry" ef_ev_per_atom=-0.0389 total_energy_ha_per_atom=-0.0627 relative_energy_mev_per_atom=12 pbc="T T T"
Rb 0.000 0.000 0.000
Na 4.384 -1.503 0.405
Na 1.632 -3.465 2.149
Tl 2.567 -0.408 2.874
Tl 3.448 -4.560 -0.320


Record 10
30
Lattice="7.395 0.000 0.000 0.000 7.395 0.000 0.000 0.000 19.296" Properties=species:S:1:pos:R:3 comment="Rb2NaTl12 GGA-PBE optimized geometry" ef_ev_per_atom=0.0125 total_energy_ha_per_atom=-0.0771 pbc="T T T"
Rb 3.697 0.000 4.836
Rb 0.000 3.697 4.836
Rb 0.000 3.697 14.460
Rb 3.697 0.000 14.460
Na 3.697 0.000 0.000
Na 0.000 3.697 0.000
Tl 3.697 3.697 15.808
Tl 0.000 0.000 15.808
Tl 5.542 5.550 17.620
Tl 1.845 5.542 17.620
Tl 0.000 0.000 6.660
Tl 1.852 5.550 1.676
Tl 6.181 2.483 10.918
Tl 3.697 3.697 6.660
Tl 1.852 1.845 17.620
Tl 5.550 5.542 1.676
Tl 2.483 1.214 10.918
Tl 4.912 1.214 8.378
Tl 0.000 0.000 12.636
Tl 1.214 2.483 8.378
Tl 1.845 1.852 1.676
Tl 6.181 4.912 8.378
Tl 4.912 6.181 10.918
Tl 0.000 0.000 3.488
Tl 1.214 4.912 10.918
Tl 3.697 3.697 12.636
Tl 5.550 1.852 17.620
Tl 3.697 3.697 3.488
Tl 2.483 6.181 8.378
Tl 5.542 1.845 1.676


Record 11
9
Lattice="7.757 0.000 0.000 -3.879 6.498 1.445 0.000 0.172 7.923" Properties=species:S:1:pos:R:3 comment="Rb2Na6Tl GGA-PBE optimized geometry" ef_ev_per_atom=-0.0020 total_energy_ha_per_atom=-0.0500 relative_energy_mev_per_atom=0 pbc="T T T"
Rb 3.879 1.955 1.528
Rb 0.000 4.715 7.839
Na 5.819 1.778 5.737
Na 3.879 5.074 6.579
Na 1.938 1.778 5.737
Na -1.941 4.891 3.630
Na 0.000 1.595 2.789
Na 1.941 4.891 3.630
Tl 0.000 0.000 0.000